No. 1
{
  "formula": "CuGe2Pb2",
  "functional": "PBE",
  "state": "relaxed",
  "lattice": [[3.645, 0.000, 0.000], [0.000, 3.645, 0.000], [0.000, 0.000, 18.026]],
  "species": ["Cu", "Cu", "Ge", "Ge", "Ge", "Ge", "Pb", "Pb", "Pb", "Pb"],
  "frac_coords": [[0.000, 0.000, 0.000], [0.500, 0.500, 0.500], [0.000, 0.500, 0.250], [0.000, 0.500, 0.750], [0.500, 0.000, 0.250], [0.500, 0.000, 0.750], [0.000, 0.000, 0.406], [0.000, 0.000, 0.594], [0.500, 0.500, 0.094], [0.500, 0.500, 0.906]]
}

No. 2
{
  "formula": "ZnRePt2",
  "functional": "PBE",
  "state": "relaxed",
  "lattice": [[2.759, 0.000, 0.000], [0.000, 2.759, 0.000], [0.000, 0.000, 7.869]],
  "species": ["Zn", "Re", "Pt", "Pt"],
  "frac_coords": [[0.000, 0.000, 0.000], [0.000, 0.000, 0.500], [0.500, 0.500, 0.253], [0.500, 0.500, 0.747]]
}

Number 1: M_tot 0.00 μB per cell, energy relative to the elements 28 kJ per mole of atoms. Number 2: M_tot 0.00 μB per cell, energy relative to the elements -26 kJ per mole of atoms.